1.
Li2MnVO4 | PBEsol | optimized geometry

Properties
Formation energy without anion corrections   -2.0228 eV per atom
Total energy   -7.564 eV per atom
Polymorph energy (0 for the lowest one)   0.027 eV per atom
DOS at the Fermi energy   0.44 states/eV/atom

Unit cell a=5.9491 b=5.9491 c=5.6672 alpha=118.44 beta=118.44 gamma=94.67
Sites, in units of the cell vectors:
Li 0.5000 0.0000 0.0000
Li 0.0000 0.5000 0.5000
Li 0.5000 0.5000 0.5000
Li 0.5000 0.5000 0.0000
Mn 0.0000 0.5000 0.0000
Mn 0.5000 0.0000 0.5000
V 0.0000 0.0000 0.0000
V 0.0000 0.0000 0.5000
O 0.7708 0.2291 0.9855
O 0.7709 0.2292 0.5145
O 0.2291 0.7708 0.4855
O 0.2292 0.7709 0.0145
O 0.2436 0.2363 0.9899
O 0.7637 0.7564 0.5101
O 0.2363 0.2436 0.4899
O 0.7564 0.7637 0.0101

2.
Li2MnV3O8 | PBEsol | optimized geometry

Properties
Formation energy without anion corrections   -2.1729 eV per atom
Total energy   -8.215 eV per atom
Polymorph energy (0 for the lowest one)   0.044 eV per atom
DOS at the Fermi energy   0.40 states/eV/atom

Unit cell a=3.9037 b=6.1635 c=6.3767 alpha=105.76 beta=90.00 gamma=108.46
Sites, in units of the cell vectors:
Li 0.9397 0.8794 0.6590
Li 0.0575 0.1149 0.3498
Mn 0.2861 0.5722 0.7027
V 0.6085 0.2170 0.7077
V 0.3840 0.7680 0.2840
V 0.7133 0.4266 0.2858
O 0.8866 0.7732 0.3263
O 0.7687 0.5374 0.6505
O 0.6551 0.3102 0.9998
O 0.5608 0.1216 0.3639
O 0.4399 0.8797 0.6395
O 0.3629 0.7258 0.0164
O 0.2240 0.4480 0.3305
O 0.1130 0.2260 0.6841

3.
Li2MnV3O8 | PBEsol | optimized geometry

Properties
Formation energy without anion corrections   -2.2059 eV per atom
Total energy   -8.248 eV per atom
Polymorph energy (0 for the lowest one)   0.011 eV per atom
DOS at the Fermi energy   0.05 states/eV/atom

Unit cell a=5.7161 b=5.7161 c=5.8877 alpha=60.96 beta=60.96 gamma=60.00
Sites, in units of the cell vectors:
Li 0.1198 0.1198 0.6407
Li 0.5026 0.5026 0.4921
Mn 0.8734 0.8734 0.3797
V 0.4896 0.0212 0.9995
V 0.0212 0.4897 0.9995
V 0.4897 0.4896 0.9995
O 0.2525 0.2525 0.2424
O 0.2526 0.2526 0.7788
O 0.7159 0.2526 0.7788
O 0.2526 0.7160 0.7788
O 0.7521 0.2857 0.2101
O 0.2857 0.7521 0.2101
O 0.7521 0.7521 0.2101
O 0.7377 0.7377 0.7869

4.
Li2MnVO4 | PBEsol | optimized geometry

Properties
Formation energy without anion corrections   -2.0247 eV per atom
Total energy   -7.565 eV per atom
Polymorph energy (0 for the lowest one)   0.025 eV per atom
DOS at the Fermi energy   0.38 states/eV/atom

Unit cell a=2.8330 b=5.1783 c=5.2895 alpha=112.94 beta=90.00 gamma=90.00
Sites, in units of the cell vectors:
Mn 0.5000 0.5000 0.0000
Li 0.0000 0.0000 0.0000
Li 0.5000 0.0000 0.5000
O 0.0000 0.2888 0.7461
O 0.0000 0.7112 0.2539
O 0.5000 0.2531 0.2656
O 0.5000 0.7469 0.7344
V 0.0000 0.5000 0.5000

| no. | volume (Å³/atom) |
| --- | --- |
| 1 | 8.89 |
| 2 | 9.96 |
| 3 | 9.85 |
| 4 | 8.93 |